NaZnFeF6 after structural relaxation. Source: Alexandria via LeMat-Bulk, functional PBE+U. Values from VASP.

Structure (Quantum ESPRESSO input):
```
&SYSTEM
  ibrav = 0, nat = 9, ntyp = 4
/
ATOMIC_SPECIES
Na 22.99 Na.upf
Zn 65.41 Zn.upf
Fe 55.84 Fe.upf
F 19.00 F.upf
CELL_PARAMETERS angstrom
5.271 0.000 0.000
-2.636 4.565 0.000
0.000 0.000 4.901
ATOMIC_POSITIONS crystal
Na 0.000 0.000 0.000
Zn 0.667 0.333 0.500
Fe 0.333 0.667 0.500
F 0.023 0.372 0.714
F 0.023 0.651 0.286
F 0.349 0.372 0.286
F 0.349 0.977 0.714
F 0.628 0.651 0.714
F 0.628 0.977 0.286
```

## Properties
E_tot: -0.3255 Ry/atom
Size of the total moment: 1.00 μB per formula unit
SG: P312 (149)